1.
First-principles (PBE) data for a relaxed structure of Y2HoIO8, as listed in Alexandria.

abc: 5.0314 5.0326 6.8206
angles: 90.00 90.00 90.99
Element x y z (fractional)
Y 0.5000 0.5000 0.7482
Y 0.5000 0.5000 0.2518
Ho 0.0000 0.0000 0.5000
I 0.0000 0.0000 0.0000
O 0.1795 0.8205 0.2084
O 0.7308 0.7310 0.0000
O 0.8205 0.1795 0.2084
O 0.8205 0.1795 0.7916
O 0.2692 0.2690 0.0000
O 0.1795 0.8205 0.7916
O 0.6931 0.6926 0.5000
O 0.3069 0.3074 0.5000

## Properties
total magnetic moment: 0.0 μB per formula unit
SG: Cmmm, No. 65
uncorrected formation energy: -2.338 eV/atom

---

2.
First-principles (PBE) data for a relaxed structure of HoThOsI, as listed in Alexandria.

abc: 4.1688 4.1689 8.4102
angles: 90.00 104.36 120.00
Element x y z (fractional)
Ho 0.5166 0.1562 0.6882
Th 0.0847 0.9402 0.0403
Os 0.3034 0.5496 0.8683
I 0.9732 0.3849 0.3729

## Properties
total magnetic moment: 0.0 μB per formula unit
SG: R3m, No. 160
uncorrected formation energy: -0.628 eV/atom

---

3.
First-principles (PBE) data for a relaxed structure of Ho2PI3, as listed in Alexandria.

abc: 4.2815 10.8698 11.0566
angles: 82.21 78.84 78.64
Element x y z (fractional)
Ho 0.8654 0.4590 0.8102
Ho 0.1346 0.5410 0.1898
Ho 0.5844 0.3080 0.5231
Ho 0.4156 0.6920 0.4769
P 0.4150 0.5053 0.6647
P 0.5850 0.4947 0.3353
I 0.0410 0.1919 0.7261
I 0.9590 0.8081 0.2739
I 0.6716 0.6689 0.9880
I 0.3284 0.3311 0.0120
I 0.7777 0.8227 0.6219
I 0.2223 0.1773 0.3781

## Properties
total magnetic moment: 0.0 μB per formula unit
SG: C2/m, No. 12
uncorrected formation energy: -1.308 eV/atom

---

4.
First-principles (PBE) data for a relaxed structure of PmHoPI, as listed in Alexandria.

abc: 4.0957 4.0960 7.8838
angles: 90.00 105.06 120.00
Element x y z (fractional)
Pm 0.5071 0.1515 0.6740
Ho 0.0963 0.9461 0.0575
P 0.3127 0.5543 0.8824
I 0.9617 0.3789 0.3559

## Properties
total magnetic moment: 0.0 μB per formula unit
SG: R3m, No. 160
uncorrected formation energy: -1.332 eV/atom

---

5.
First-principles (PBE) data for a relaxed structure of PrHoPI, as listed in Alexandria.

abc: 4.1249 4.1253 7.9622
angles: 90.00 105.01 120.00
Element x y z (fractional)
Pr 0.5065 0.1512 0.6730
Ho 0.0966 0.9463 0.0579
P 0.3160 0.5559 0.8872
I 0.9588 0.3774 0.3516

## Properties
total magnetic moment: 0.0 μB per formula unit
SG: R3m, No. 160
uncorrected formation energy: -1.335 eV/atom

---

6.
First-principles (PBE) data for a relaxed structure of HoPS4I, as listed in Alexandria.

abc: 6.9415 6.9415 8.8624
angles: 84.87 84.87 77.95
Element x y z (fractional)
Ho 0.2002 0.2002 0.9342
Ho 0.7998 0.7998 0.0658
P 0.6037 0.6037 0.7674
P 0.3963 0.3963 0.2326
S 0.3126 0.3126 0.4460
S 0.6874 0.6874 0.5540
S 0.1625 0.5186 0.0969
S 0.5768 0.5768 0.2779
S 0.4814 0.8375 0.9031
S 0.5186 0.1625 0.0969
S 0.4232 0.4232 0.7221
S 0.8375 0.4814 0.9031
I 0.0250 0.0250 0.2367
I 0.9750 0.9750 0.7633

## Properties
total magnetic moment: 0.0 μB per formula unit
SG: C2/m, No. 12
uncorrected formation energy: -0.645 eV/atom

---

7.
First-principles (PBE) data for a relaxed structure of HoPaI, as listed in Alexandria.

abc: 3.5340 6.8961 7.7640
angles: 80.63 90.00 104.85
Element x y z (fractional)
Ho 0.1909 0.3817 0.8331
Ho 0.8091 0.6183 0.1669
Pa 0.5379 0.0758 0.1413
Pa 0.4621 0.9242 0.8587
I 0.1388 0.2776 0.4273
I 0.8612 0.7224 0.5727

## Properties
total magnetic moment: 0.0 μB per formula unit
SG: C2/m, No. 12
uncorrected formation energy: -0.128 eV/atom

---

8.
First-principles (PBE) data for a relaxed structure of Ho2PaI, as listed in Alexandria.

abc: 3.4377 3.4377 11.7112
angles: 81.56 81.56 60.00
Element x y z (fractional)
I 0.5000 0.5000 0.5000
Pa 0.0000 0.0000 0.0000
Ho 0.0940 0.0940 0.7179
Ho 0.9060 0.9060 0.2821

## Properties
total magnetic moment: 0.0 μB per formula unit
SG: R-3m, No. 166
uncorrected formation energy: 0.167 eV/atom

---

9.
First-principles (PBE) data for a relaxed structure of RbHoPbI6, as listed in Alexandria.

abc: 8.1611 8.1611 15.9951
angles: 90.00 90.00 120.00
Element x y z (fractional)
Rb 0.0000 0.0000 0.0000
Rb 0.0000 0.0000 0.5000
Ho 0.6667 0.3333 0.2500
Ho 0.3333 0.6667 0.7500
Pb 0.3333 0.6667 0.2500
Pb 0.6667 0.3333 0.7500
I 0.6395 0.6193 0.1379
I 0.9799 0.3605 0.1379
I 0.3605 0.9799 0.6379
I 0.0201 0.6395 0.8621
I 0.3807 0.3605 0.3621
I 0.9799 0.6193 0.3621
I 0.6193 0.9799 0.8621
I 0.6395 0.0201 0.3621
I 0.0201 0.3807 0.6379
I 0.3807 0.0201 0.1379
I 0.6193 0.6395 0.6379
I 0.3605 0.3807 0.8621

## Properties
total magnetic moment: 0.0 μB per formula unit
SG: P-31c, No. 163
uncorrected formation energy: -1.177 eV/atom

---

10.
First-principles (PBE) data for a relaxed structure of HoTlPb2I8, as listed in Alexandria.

abc: 7.8111 7.3247 9.6956
angles: 89.97 89.99 89.05
Element x y z (fractional)
Ho 0.0000 0.0000 0.0000
Tl 0.0000 0.0000 0.5000
Pb 0.5001 0.5000 0.7503
Pb 0.4999 0.5000 0.2497
I 0.1524 0.7560 0.2211
I 0.6767 0.7654 0.9999
I 0.8473 0.2436 0.2210
I 0.8476 0.2440 0.7789
I 0.3233 0.2346 0.0001
I 0.1527 0.7564 0.7790
I 0.6383 0.7345 0.4999
I 0.3617 0.2655 0.5001

## Properties
total magnetic moment: 0.0 μB per formula unit
SG: P2/m, No. 10
uncorrected formation energy: -0.855 eV/atom

---

11.
First-principles (PBE) data for a relaxed structure of Ho2PdI2, as listed in Alexandria.

abc: 4.0932 4.0932 12.0684
angles: 80.24 80.24 60.00
Element x y z (fractional)
Ho 0.6221 0.6221 0.1336
Ho 0.3779 0.3779 0.8664
Pd 0.0000 0.0000 0.0000
I 0.2287 0.2287 0.3138
I 0.7713 0.7713 0.6862

## Properties
total magnetic moment: 0.0 μB per formula unit
SG: R-3m, No. 166
uncorrected formation energy: -1.084 eV/atom

---

12.
First-principles (PBE) data for a relaxed structure of HoPdI2, as listed in Alexandria.

abc: 3.9587 3.9587 9.5906
angles: 78.09 78.09 60.00
Element x y z (fractional)
I 0.0932 0.0932 0.7205
I 0.9068 0.9068 0.2795
Ho 0.5000 0.5000 0.5000
Pd 0.0000 0.0000 0.0000

## Properties
total magnetic moment: 0.0 μB per formula unit
SG: R-3m, No. 166
uncorrected formation energy: -0.472 eV/atom

---

13.
First-principles (PBE) data for a relaxed structure of Ho3PdI3, as listed in Alexandria.

abc: 10.5517 10.5517 10.5517
angles: 109.47 109.47 109.47
Element x y z (fractional)
Ho 0.9554 0.4777 0.2277
Ho 0.5223 0.0446 0.2723
Ho 0.2500 0.0223 0.4777
Ho 0.9777 0.7500 0.0223
Ho 0.9777 0.2277 0.4554
Ho 0.7723 0.0223 0.0446
Ho 0.7277 0.4554 0.4777
Ho 0.7723 0.7500 0.2277
Ho 0.5446 0.2723 0.0223
Ho 0.2500 0.2277 0.2723
Ho 0.7277 0.2723 0.7500
Ho 0.5223 0.4777 0.7500
Pd 0.7500 0.5000 0.0000
Pd 0.5000 0.2500 0.5000
Pd 0.7500 0.2500 0.2500
Pd 0.0000 0.0000 0.2500
I 0.2417 0.9917 0.9834
I 0.7500 0.7583 0.7417
I 0.4834 0.7417 0.9917
I 0.0083 0.2500 0.9917
I 0.2583 0.7417 0.2500
I 0.4917 0.5083 0.2500
I 0.2417 0.2500 0.7583
I 0.2583 0.5166 0.5083
I 0.7500 0.9917 0.5083
I 0.0166 0.5083 0.7583
I 0.0083 0.7583 0.5166
I 0.4917 0.9834 0.7417

## Properties
total magnetic moment: 0.0 μB per formula unit
SG: I4_132, No. 214
uncorrected formation energy: -1.027 eV/atom

---

14.
First-principles (PBE) data for a relaxed structure of PmHoI5, as listed in Alexandria.

abc: 4.2265 9.3390 14.8756
angles: 95.06 90.00 90.00
Element x y z (fractional)
Pm 0.7500 0.1041 0.1494
Pm 0.2500 0.8959 0.8506
Ho 0.2500 0.4072 0.3416
Ho 0.7500 0.5928 0.6584
I 0.2500 0.0689 0.3074
I 0.7500 0.1364 0.9285
I 0.7500 0.3226 0.4798
I 0.2500 0.3529 0.1298
I 0.2500 0.3761 0.7069
I 0.7500 0.6239 0.2931
I 0.7500 0.6471 0.8702
I 0.2500 0.6774 0.5202
I 0.2500 0.8636 0.0715
I 0.7500 0.9311 0.6926

## Properties
total magnetic moment: 1.0 μB per formula unit
SG: P2_1/m, No. 11
uncorrected formation energy: -1.326 eV/atom

---

15.
First-principles (PBE) data for a relaxed structure of Pm5HoI12, as listed in Alexandria.

abc: 7.2689 7.2734 16.3901
angles: 89.98 89.96 60.02
Element x y z (fractional)
Pm 0.5000 0.0000 0.5000
Pm 0.1666 0.6668 0.5000
Pm 0.8334 0.3332 0.5000
Pm 0.6667 0.6666 0.0000
Pm 0.3333 0.3334 0.0000
Ho 0.0000 0.0000 0.0000
I 0.8335 0.0000 0.3757
I 0.1665 0.0000 0.6243
I 0.6760 0.0000 0.8786
I 0.3240 0.0000 0.1214
I 0.3244 0.6758 0.8786
I 0.9998 0.6758 0.1214
I 0.0002 0.3242 0.8786
I 0.6756 0.3242 0.1214
I 0.4997 0.3334 0.6243
I 0.8331 0.6666 0.6243
I 0.1669 0.3334 0.3757
I 0.5003 0.6666 0.3757

## Properties
total magnetic moment: 0.0 μB per formula unit
SG: C2/m, No. 12
uncorrected formation energy: -1.267 eV/atom

---

16.
First-principles (PBE) data for a relaxed structure of PmHo2I, as listed in Alexandria.

abc: 3.7371 3.7371 10.7169
angles: 79.96 79.96 60.00
Element x y z (fractional)
I 0.0000 0.0000 0.0000
Ho 0.7450 0.7450 0.7650
Ho 0.2550 0.2550 0.2350
Pm 0.5000 0.5000 0.5000

## Properties
energy above the lowest structure with this stoichiometry: 0.000 eV/atom
total magnetic moment: 0.0 μB per formula unit
SG: R-3m, No. 166
uncorrected formation energy: -0.346 eV/atom

---

17.
First-principles (PBE) data for a relaxed structure of Pm3Ho5I12, as listed in Alexandria.

abc: 15.7817 15.7817 15.7817
angles: 109.47 109.47 109.47
Element x y z (fractional)
Pm 0.7500 0.3750 0.1250
Pm 0.8750 0.7500 0.1250
Pm 0.3750 0.7500 0.6250
Pm 0.2500 0.1250 0.3750
Pm 0.8750 0.1250 0.2500
Pm 0.3750 0.6250 0.2500
Pm 0.6250 0.3750 0.7500
Pm 0.1250 0.8750 0.7500
Pm 0.7500 0.8750 0.6250
Pm 0.6250 0.2500 0.3750
Pm 0.1250 0.2500 0.8750
Pm 0.2500 0.6250 0.8750
Ho 0.1250 0.3750 0.2500
Ho 0.0000 0.5000 0.0000
Ho 0.0000 0.0000 0.0000
Ho 0.3750 0.2500 0.1250
Ho 0.5000 0.0000 0.5000
Ho 0.5000 0.5000 0.0000
Ho 0.1250 0.7500 0.3750
Ho 0.7500 0.1250 0.8750
Ho 0.7500 0.6250 0.3750
Ho 0.3750 0.1250 0.7500
Ho 0.6250 0.8750 0.2500
Ho 0.5000 0.5000 0.5000
Ho 0.5000 0.0000 0.0000
Ho 0.0000 0.0000 0.5000
Ho 0.2500 0.3750 0.6250
Ho 0.2500 0.8750 0.1250
Ho 0.0000 0.5000 0.5000
Ho 0.8750 0.2500 0.6250
Ho 0.6250 0.7500 0.8750
Ho 0.8750 0.6250 0.7500
I 0.7223 0.1318 0.0523
I 0.3301 0.5523 0.4205
I 0.9477 0.3682 0.2777
I 0.5523 0.2223 0.1318
I 0.5904 0.7223 0.6699
I 0.9477 0.5795 0.1699
I 0.3301 0.7777 0.4096
I 0.0795 0.9096 0.1318
I 0.5795 0.9477 0.6699
I 0.7223 0.5904 0.1699
I 0.7777 0.4477 0.3682
I 0.8301 0.9205 0.0523
I 0.1318 0.7223 0.5523
I 0.3682 0.4205 0.0904
I 0.0904 0.9205 0.3682
I 0.4096 0.1318 0.5795
I 0.0904 0.1699 0.2223
I 0.4477 0.6699 0.0795
I 0.8301 0.9096 0.2777
I 0.1318 0.4096 0.0795
I 0.3682 0.9477 0.7777
I 0.5795 0.6318 0.4096
I 0.9205 0.8301 0.5523
I 0.7777 0.3301 0.9096
I 0.4205 0.3682 0.5904
I 0.0795 0.1699 0.4477
I 0.2223 0.6699 0.0904
I 0.1699 0.0904 0.7223
I 0.6318 0.0523 0.2223
I 0.8682 0.5904 0.9205
I 0.5523 0.3301 0.9205
I 0.5904 0.8682 0.4205
I 0.9096 0.8301 0.7777
I 0.9096 0.0795 0.6318
I 0.8682 0.2777 0.4477
I 0.1699 0.0795 0.9477
I 0.6318 0.5795 0.9096
I 0.4205 0.0523 0.3301
I 0.2777 0.4096 0.8301
I 0.2223 0.5523 0.6318
I 0.9205 0.0904 0.8682
I 0.6699 0.2223 0.5904
I 0.4477 0.7777 0.8682
I 0.0523 0.4205 0.8301
I 0.4096 0.2777 0.3301
I 0.0523 0.6318 0.7223
I 0.6699 0.4477 0.5795
I 0.2777 0.8682 0.9477

## Properties
total magnetic moment: 0.6 μB per formula unit
SG: Ia-3d, No. 230
uncorrected formation energy: -0.592 eV/atom

---

18.
First-principles (PBE) data for a relaxed structure of PmHoI2, as listed in Alexandria.

abc: 3.8860 3.8860 10.9637
angles: 79.79 79.79 60.00
Element x y z (fractional)
I 0.0955 0.0955 0.7134
I 0.9045 0.9045 0.2866
Ho 0.0000 0.0000 0.0000
Pm 0.5000 0.5000 0.5000

## Properties
total magnetic moment: 0.0 μB per formula unit
SG: R-3m, No. 166
uncorrected formation energy: -0.694 eV/atom

---

19.
First-principles (PBE) data for a relaxed structure of PmHoI6, as listed in Alexandria.

abc: 8.0103 8.0103 7.7322
angles: 91.68 91.68 118.52
Element x y z (fractional)
Pm 0.0000 0.0000 0.5000
Ho 0.0000 0.0000 0.0000
I 0.2986 0.9965 0.2504
I 0.9965 0.2986 0.2504
I 0.0035 0.7014 0.7496
I 0.7014 0.0035 0.7496
I 0.2939 0.2939 0.7764
I 0.7061 0.7061 0.2236

## Properties
energy above the lowest structure with this stoichiometry: 0.000 eV/atom
total magnetic moment: 0.0 μB per formula unit
SG: C2/m, No. 12
uncorrected formation energy: -1.376 eV/atom